[1]
## Be3SiSb (GGA-PBE)

Data for a relaxed structure of Be3SiSb.

Summary:
Space-group type: Pm-3m
Raw formation energy in eV per atom: 0.77

a b c (Å): 4.318 4.318 4.318
angles (deg): 90.00 90.00 90.00
Element x y z (fractional)
Be 0.000 0.000 0.500
Be 0.000 0.500 0.000
Be 0.500 0.000 0.000
Si 0.000 0.000 0.000
Sb 0.500 0.500 0.500

[2]
## Be4SiSb (GGA-PBE)

Data for a relaxed structure of Be4SiSb.

Summary:
Space-group type: F-43m
Raw formation energy in eV per atom: 0.53

a b c (Å): 4.750 4.750 4.750
angles (deg): 60.00 60.00 60.00
Element x y z (fractional)
Be 0.377 0.377 0.377
Be 0.377 0.377 0.868
Be 0.377 0.868 0.377
Be 0.868 0.377 0.377
Si 0.750 0.750 0.750
Sb 0.000 0.000 0.000

[3]
## BeSi2Sb (GGA-PBE)

Data for a relaxed structure of BeSi2Sb.

Summary:
Space-group type: P4/mmm
Raw formation energy in eV per atom: 0.58

a b c (Å): 3.281 3.281 6.185
angles (deg): 90.00 90.00 90.00
Element x y z (fractional)
Be 0.000 0.000 0.000
Si 0.500 0.500 0.189
Si 0.500 0.500 0.811
Sb 0.000 0.000 0.500

[4]
## BeSi2Sb (GGA-PBE)

Data for a relaxed structure of BeSi2Sb.

Summary:
Space-group type: P1
Raw formation energy in eV per atom: 0.39

a b c (Å): 3.684 3.707 5.624
angles (deg): 104.95 102.44 105.46
Element x y z (fractional)
Be 0.000 0.000 0.000
Si 0.320 0.562 0.879
Si 0.576 0.071 0.646
Sb 0.835 0.507 0.331

[5]
## BeSi2SbTe (GGA-PBE)

Data for a relaxed structure of BeSi2SbTe.

Summary:
Space-group type: P4/mmm
Raw formation energy in eV per atom: 1.03

a b c (Å): 5.330 5.330 4.465
angles (deg): 90.00 90.00 90.00
Element x y z (fractional)
Be 0.000 0.000 0.000
Si 0.000 0.500 0.500
Si 0.500 0.000 0.500
Sb 0.000 0.000 0.500
Te 0.500 0.500 0.000

[6]
## BeSi2SbTe (GGA-PBE)

Data for a relaxed structure of BeSi2SbTe.

Summary:
Space-group type: P4/mmm
Raw formation energy in eV per atom: 1.15

a b c (Å): 5.402 5.402 4.418
angles (deg): 90.00 90.00 90.00
Element x y z (fractional)
Be 0.000 0.000 0.000
Si 0.000 0.500 0.500
Si 0.500 0.000 0.500
Sb 0.500 0.500 0.000
Te 0.000 0.000 0.500

[7]
## BeSiSb2Te (GGA-PBE)

Data for a relaxed structure of BeSiSb2Te.

Summary:
Space-group type: P4/mmm
Raw formation energy in eV per atom: 0.67

a b c (Å): 4.839 4.839 5.137
angles (deg): 90.00 90.00 90.00
Element x y z (fractional)
Be 0.000 0.000 0.000
Si 0.500 0.500 0.500
Sb 0.000 0.500 0.000
Sb 0.500 0.000 0.000
Te 0.000 0.000 0.500

[8]
## SmBeSb (GGA-PBE)

Data for a relaxed structure of SmBeSb.

Summary:
Space-group type: P6_222
Raw formation energy in eV per atom: 0.05

a b c (Å): 6.378 6.378 12.073
angles (deg): 90.00 90.00 120.00
Element x y z (fractional)
Sm 0.000 0.500 0.391
Sm 0.000 0.500 0.942
Sm 0.500 0.000 0.275
Sm 0.500 0.000 0.725
Sm 0.500 0.500 0.058
Sm 0.500 0.500 0.609
Be 0.179 0.590 0.167
Be 0.410 0.590 0.833
Be 0.410 0.821 0.500
Be 0.590 0.179 0.500
Be 0.590 0.410 0.833
Be 0.821 0.410 0.167
Sb 0.000 0.000 0.167
Sb 0.000 0.000 0.500
Sb 0.000 0.000 0.833
Sb 0.000 0.500 0.667
Sb 0.500 0.000 0.000
Sb 0.500 0.500 0.333

[9]
## Be2SnSb (GGA-PBE)

Data for a relaxed structure of Be2SnSb.

Summary:
Space-group type: I-42d
Raw formation energy in eV per atom: 0.49

a b c (Å): 6.503 6.503 6.503
angles (deg): 124.46 124.46 82.44
Element x y z (fractional)
Be 0.107 0.625 0.982
Be 0.375 0.357 0.482
Be 0.643 0.125 0.018
Be 0.875 0.893 0.518
Sn 0.250 0.750 0.500
Sn 0.500 0.500 0.000
Sb 0.000 0.000 0.000
Sb 0.750 0.250 0.500

[10]
## Be3SnSb (GGA-PBE)

Data for a relaxed structure of Be3SnSb.

Summary:
Space-group type: Pm-3m
Raw formation energy in eV per atom: 1.11

a b c (Å): 4.652 4.652 4.652
angles (deg): 90.00 90.00 90.00
Element x y z (fractional)
Be 0.000 0.000 0.500
Be 0.000 0.500 0.000
Be 0.500 0.000 0.000
Sn 0.000 0.000 0.000
Sb 0.500 0.500 0.500

[11]
## BeSn2Sb (GGA-PBE)

Data for a relaxed structure of BeSn2Sb.

Summary:
Space-group type: Fm-3m
Raw formation energy in eV per atom: 0.55

a b c (Å): 5.135 5.135 5.135
angles (deg): 60.00 60.00 60.00
Element x y z (fractional)
Be 0.000 0.000 0.000
Sn 0.250 0.250 0.250
Sn 0.750 0.750 0.750
Sb 0.500 0.500 0.500

[12]
## BeSn2Sb (GGA-PBE)

Data for a relaxed structure of BeSn2Sb.

Summary:
Space-group type: I-42d
Raw formation energy in eV per atom: 0.23

a b c (Å): 7.489 7.489 7.489
angles (deg): 131.41 131.41 71.16
Element x y z (fractional)
Be 0.000 0.000 0.000
Be 0.750 0.250 0.500
Sn 0.062 0.625 0.937
Sn 0.375 0.312 0.437
Sn 0.688 0.125 0.063
Sn 0.875 0.938 0.563
Sb 0.250 0.750 0.500
Sb 0.500 0.500 0.000

[13]
## Be3SnSb (GGA-PBE)

Data for a relaxed structure of Be3SnSb.

Summary:
Space-group type: Pm-3m
Raw formation energy in eV per atom: 1.12

a b c (Å): 4.703 4.703 4.703
angles (deg): 90.00 90.00 90.00
Element x y z (fractional)
Be 0.000 0.000 0.500
Be 0.000 0.500 0.000
Be 0.500 0.000 0.000
Sn 0.500 0.500 0.500
Sb 0.000 0.000 0.000

[14]
## Be2SnSb (GGA-PBE)

Data for a relaxed structure of Be2SnSb.

Summary:
Space-group type: Fm-3m
Raw formation energy in eV per atom: 0.69

a b c (Å): 4.703 4.703 4.703
angles (deg): 60.00 60.00 60.00
Element x y z (fractional)
Be 0.250 0.250 0.250
Be 0.750 0.750 0.750
Sn 0.000 0.000 0.000
Sb 0.500 0.500 0.500

[15]
## BeSnSb3 (GGA-PBE)

Data for a relaxed structure of BeSnSb3.

Summary:
Space-group type: Pm-3m
Raw formation energy in eV per atom: 0.40

a b c (Å): 5.010 5.010 5.010
angles (deg): 90.00 90.00 90.00
Element x y z (fractional)
Be 0.000 0.000 0.000
Sn 0.500 0.500 0.500
Sb 0.000 0.000 0.500
Sb 0.000 0.500 0.000
Sb 0.500 0.000 0.000

[16]
## BeSnSb3 (GGA-PBE)

Data for a relaxed structure of BeSnSb3.

Summary:
Space-group type: Pm-3m
Raw formation energy in eV per atom: 1.33

a b c (Å): 5.656 5.656 5.656
angles (deg): 90.00 90.00 90.00
Element x y z (fractional)
Be 0.000 0.000 0.000
Sn 0.500 0.500 0.500
Sb 0.000 0.500 0.500
Sb 0.500 0.000 0.500
Sb 0.500 0.500 0.000

[17]
## BeSnSb2Te (GGA-PBE)

Data for a relaxed structure of BeSnSb2Te.

Summary:
Space-group type: P4/mmm
Raw formation energy in eV per atom: 1.22

a b c (Å): 5.687 5.687 5.669
angles (deg): 90.00 90.00 90.00
Element x y z (fractional)
Be 0.000 0.000 0.000
Sn 0.500 0.500 0.500
Sb 0.000 0.500 0.500
Sb 0.500 0.000 0.500
Te 0.500 0.500 0.000

[18]
## BeSnSb2Te (GGA-PBE)

Data for a relaxed structure of BeSnSb2Te.

Summary:
Space-group type: P4/mmm
Raw formation energy in eV per atom: 0.35

a b c (Å): 4.932 4.932 5.301
angles (deg): 90.00 90.00 90.00
Element x y z (fractional)
Be 0.000 0.000 0.000
Sn 0.500 0.500 0.500
Sb 0.000 0.500 0.000
Sb 0.500 0.000 0.000
Te 0.000 0.000 0.500

[19]
## BeTlSnSb2 (GGA-PBE)

Data for a relaxed structure of BeTlSnSb2.

Summary:
Space-group type: P4/mmm
Raw formation energy in eV per atom: 0.64

a b c (Å): 5.927 5.927 4.476
angles (deg): 90.00 90.00 90.00
Element x y z (fractional)
Be 0.000 0.000 0.000
Tl 0.500 0.500 0.000
Sn 0.000 0.000 0.500
Sb 0.000 0.500 0.500
Sb 0.500 0.000 0.500

[20]
## YBe2SnSb (GGA-PBE)

Data for a relaxed structure of YBe2SnSb.

Summary:
Space-group type: P4/mmm
Raw formation energy in eV per atom: 0.51

a b c (Å): 4.593 4.593 5.911
angles (deg): 90.00 90.00 90.00
Element x y z (fractional)
Y 0.000 0.000 0.000
Be 0.000 0.500 0.500
Be 0.500 0.000 0.500
Sn 0.500 0.500 0.000
Sb 0.000 0.000 0.500

[21]
## Sr2BeSb2 (GGA-PBE)

Data for a relaxed structure of Sr2BeSb2.

Summary:
Space-group type: I4/mmm
Raw formation energy in eV per atom: -0.42

a b c (Å): 7.967 7.967 7.967
angles (deg): 133.22 133.22 68.30
Element x y z (fractional)
Sr 0.250 0.750 0.500
Sr 0.750 0.250 0.500
Be 0.000 0.000 0.000
Sb 0.173 0.173 0.000
Sb 0.827 0.827 0.000

[22]
## Sr2BeSb2 (GGA-PBE)

Data for a relaxed structure of Sr2BeSb2.

Summary:
Space-group type: P4/mbm
Raw formation energy in eV per atom: -0.32

a b c (Å): 7.568 7.568 5.035
angles (deg): 90.00 90.00 90.00
Element x y z (fractional)
Sr 0.171 0.329 0.000
Sr 0.329 0.829 0.000
Sr 0.671 0.171 0.000
Sr 0.829 0.671 0.000
Be 0.000 0.000 0.500
Be 0.500 0.500 0.500
Sb 0.143 0.643 0.500
Sb 0.357 0.143 0.500
Sb 0.643 0.857 0.500
Sb 0.857 0.357 0.500

[23]
## Sr3BeSb3 (GGA-PBE)

Data for a relaxed structure of Sr3BeSb3.

Summary:
Space-group type: Cmce
Raw formation energy in eV per atom: -0.77

a b c (Å): 10.576 10.576 13.436
angles (deg): 90.00 90.00 37.40
Element x y z (fractional)
Sr 0.033 0.625 0.130
Sr 0.125 0.533 0.630
Sr 0.199 0.801 0.857
Sr 0.301 0.699 0.357
Sr 0.375 0.967 0.130
Sr 0.467 0.875 0.630
Sr 0.533 0.125 0.370
Sr 0.625 0.033 0.870
Sr 0.699 0.301 0.643
Sr 0.801 0.199 0.143
Sr 0.875 0.467 0.370
Sr 0.967 0.375 0.870
Be 0.084 0.084 0.500
Be 0.416 0.416 0.000
Be 0.584 0.584 0.000
Be 0.916 0.916 0.500
Sb 0.043 0.637 0.384
Sb 0.137 0.543 0.884
Sb 0.203 0.797 0.603
Sb 0.297 0.703 0.103
Sb 0.363 0.957 0.384
Sb 0.457 0.863 0.884
Sb 0.543 0.137 0.116
Sb 0.637 0.043 0.616
Sb 0.703 0.297 0.897
Sb 0.797 0.203 0.397
Sb 0.863 0.457 0.116
Sb 0.957 0.363 0.616

[24]
## SrBe2Sb2 (GGA-PBE)

Data for a relaxed structure of SrBe2Sb2.

Summary:
Space-group type: I4/mmm
Raw formation energy in eV per atom: -0.25

a b c (Å): 7.587 7.587 7.587
angles (deg): 148.84 148.84 44.65
Element x y z (fractional)
Sr 0.000 0.000 0.000
Be 0.250 0.750 0.500
Be 0.750 0.250 0.500
Sb 0.358 0.358 0.000
Sb 0.642 0.642 0.000

[25]
## TaBeSb (GGA-PBE)

Data for a relaxed structure of TaBeSb.

Summary:
Space-group type: F-43m
Raw formation energy in eV per atom: 0.67

a b c (Å): 4.227 4.227 4.227
angles (deg): 60.00 60.00 60.00
Element x y z (fractional)
Ta 0.000 0.000 0.000
Be 0.250 0.250 0.250
Sb 0.500 0.500 0.500

[26]
## TaBe3Sb (GGA-PBE)

Data for a relaxed structure of TaBe3Sb.

Summary:
Space-group type: Pm-3m
Raw formation energy in eV per atom: 1.67

a b c (Å): 4.448 4.448 4.448
angles (deg): 90.00 90.00 90.00
Element x y z (fractional)
Ta 0.000 0.000 0.000
Be 0.000 0.500 0.500
Be 0.500 0.000 0.500
Be 0.500 0.500 0.000
Sb 0.500 0.500 0.500

[27]
## TaBeSb (GGA-PBE)

Data for a relaxed structure of TaBeSb.

Summary:
Space-group type: I4mm
Raw formation energy in eV per atom: 0.46

a b c (Å): 7.444 7.444 7.444
angles (deg): 157.14 157.14 32.55
Element x y z (fractional)
Ta 0.000 0.000 0.000
Be 0.393 0.393 0.000
Sb 0.659 0.659 0.000

no.,magnetization (Bohr magnetons per cell)
1,0.0
2,0.0
3,0.0
4,0.0
5,0.0
6,0.0
7,0.0
8,0.0
9,0.0
10,0.0
11,0.0
12,0.0
13,0.0
14,0.0
15,0.0
16,0.0
17,0.0
18,0.0
19,0.0
20,0.0
21,0.0
22,0.0
23,0.0
24,0.0
25,0.1
26,0.0
27,0.0